Below is a relaxed structure of ErTaIrRh, with properties calculated at the PBE level.

Properties
- Magnetic moment: 0.0 μB per formula unit
- V: 71.2 Å³ per cell
- DOS(E_F): 4.3 states/eV per cell
- Energy of formation: -0.538 eV per atom

Geometry as POSCAR:
```
ErTaIrRh
1.0
-4.036 0.110 2.313
-3.339 -3.083 -0.999
-1.035 -3.373 3.034
Er Ir Rh Ta
1 1 1 1
Cartesian
-4.205 -3.173 2.174 Er
-6.307 -4.760 3.261 Ir
-2.102 -1.587 1.087 Rh
0.000 0.000 0.000 Ta
```